{"formula": "NaSnAuSe3", "functional": "PBE", "state": "optimized geometry", "cell": [[7.385, -1.961, 0.000], [7.385, 1.961, 0.000], [0.000, 0.000, 10.668]], "species": ["Au", "Se", "Se", "Se", "Sn", "Se", "Na", "Sn", "Se", "Na", "Au", "Se"], "frac_coords": [[0.637, 0.637, 0.750], [0.054, 0.054, 0.250], [0.367, 0.367, 0.022], [0.633, 0.633, 0.978], [0.000, 0.000, 0.500], [0.367, 0.367, 0.478], [0.296, 0.296, 0.750], [0.000, 0.000, 0.000], [0.633, 0.633, 0.522], [0.704, 0.704, 0.250], [0.363, 0.363, 0.250], [0.946, 0.946, 0.750]], "polymorph_energy_kj_per_mol_atoms": 2.82}

---

{"formula": "NaSnAuSe3", "functional": "PBE", "state": "optimized geometry", "cell": [[10.679, 0.000, 0.000], [0.000, 3.952, 0.000], [0.000, 0.000, 14.593]], "species": ["Sn", "Se", "Se", "Se", "Au", "Sn", "Au", "Sn", "Se", "Na", "Se", "Se", "Se", "Se", "Se", "Au", "Na", "Na", "Au", "Sn", "Se", "Se", "Se", "Na"], "frac_coords": [[0.992, 0.750, 0.750], [0.014, 0.250, 0.616], [0.758, 0.250, 0.195], [0.986, 0.750, 0.384], [0.742, 0.250, 0.885], [0.508, 0.250, 0.250], [0.758, 0.750, 0.385], [0.492, 0.750, 0.750], [0.530, 0.750, 0.384], [0.742, 0.250, 0.544], [0.486, 0.750, 0.116], [0.970, 0.250, 0.884], [0.514, 0.250, 0.884], [0.470, 0.250, 0.616], [0.030, 0.750, 0.116], [0.242, 0.250, 0.615], [0.258, 0.750, 0.456], [0.758, 0.750, 0.044], [0.258, 0.750, 0.115], [0.008, 0.250, 0.250], [0.242, 0.750, 0.805], [0.258, 0.250, 0.305], [0.742, 0.750, 0.695], [0.242, 0.250, 0.956]], "polymorph_energy_kj_per_mol_atoms": 2.89}

---

{"formula": "NaSnTeAuSe2", "functional": "PBE", "state": "optimized geometry", "cell": [[1.928, -7.687, 0.000], [1.928, 7.687, 0.000], [0.000, 0.000, 11.303]], "species": ["Te", "Sn", "Au", "Sn", "Se", "Te", "Se", "Se", "Na", "Na", "Au", "Se"], "frac_coords": [[0.061, 0.939, 0.750], [0.000, 0.000, 0.000], [0.373, 0.627, 0.750], [0.000, 0.000, 0.500], [0.630, 0.370, 0.466], [0.939, 0.061, 0.250], [0.370, 0.630, 0.534], [0.370, 0.630, 0.966], [0.276, 0.724, 0.250], [0.724, 0.276, 0.750], [0.627, 0.373, 0.250], [0.630, 0.370, 0.034]], "energy_ha_per_atom": -0.1285}